Record 1
! HoBiRhO6 (GGA-PBE, optimized geometry); values from VASP
&SYSTEM
  ibrav = 0, nat = 18, ntyp = 4
/
ATOMIC_SPECIES
O 16.00 O.upf
Bi 208.98 Bi.upf
Rh 102.91 Rh.upf
Ho 164.93 Ho.upf
CELL_PARAMETERS angstrom
5.492 0.000 0.000
-2.746 4.756 0.000
0.000 0.000 9.307
ATOMIC_POSITIONS crystal
O 0.334 0.967 0.629
O 0.634 0.967 0.871
O 0.634 0.666 0.629
O 0.666 0.634 0.129
O 0.666 0.033 0.371
O 0.033 0.366 0.629
O 0.366 0.033 0.129
O 0.334 0.366 0.871
O 0.967 0.334 0.129
O 0.033 0.666 0.871
O 0.366 0.334 0.371
O 0.967 0.634 0.371
Bi 0.000 0.000 0.500
Bi 0.000 0.000 0.000
Rh 0.333 0.667 0.750
Rh 0.667 0.333 0.250
Ho 0.333 0.667 0.250
Ho 0.667 0.333 0.750
! - total magnetic moment (μB per formula unit) = 0.6
! - DOS(E_F) (states/eV/cell) = 10.6
! - DFT total energy (eV/cell) = -117.774


Record 2
! HoBi2RuO8 (GGA-PBE, optimized geometry); values from VASP
&SYSTEM
  ibrav = 0, nat = 12, ntyp = 4
/
ATOMIC_SPECIES
Ru 101.07 Ru.upf
O 16.00 O.upf
Bi 208.98 Bi.upf
Ho 164.93 Ho.upf
CELL_PARAMETERS angstrom
-4.905 -1.321 0.109
0.279 -0.850 5.036
-1.706 6.430 1.180
ATOMIC_POSITIONS crystal
Ru 0.000 0.000 0.000
O 0.832 0.197 0.223
O 0.678 0.701 0.500
O 0.168 0.803 0.777
O 0.279 0.232 0.000
O 0.721 0.768 0.000
O 0.322 0.299 0.500
O 0.168 0.803 0.223
O 0.832 0.197 0.777
Bi 0.500 0.500 0.247
Bi 0.500 0.500 0.753
Ho 0.000 0.000 0.500
! - total magnetic moment (μB per formula unit) = 0.3
! - DOS(E_F) (states/eV/cell) = 4.9
! - DFT total energy (eV/cell) = -78.894